(1)
Material: K2PH4S3O2
Method: DFT, meta-GGA SCAN
State: single point on PBEsol structure

## Properties
**Symmetry**: P2_1/c, No. 14

Lattice parameters (Å, degrees): 7.8252 11.2142 11.6109 90.00 129.08 90.00
Last column: nearest neighbours and their distance in Å.
Atoms (fractional coordinates):
K: 0.0103 0.2249 0.1038  2 O 2.71-2.85, 2 H 2.89-3.02
K: 0.0103 0.2751 0.6038  2 O 2.71-2.85, 2 H 2.89-3.02
K: 0.4824 0.1493 0.5258  4 O 2.73-2.93, 3 H 2.93-3.06
K: 0.4824 0.3507 0.0258  4 O 2.73-2.93, 3 H 2.93-3.06
K: 0.5176 0.6493 0.9742  4 O 2.73-2.93, 3 H 2.93-3.06
K: 0.5176 0.8507 0.4742  4 O 2.73-2.93, 3 H 2.93-3.06
K: 0.9897 0.7249 0.3962  2 O 2.71-2.85, 2 H 2.89-3.02
K: 0.9897 0.7751 0.8962  2 O 2.71-2.85, 2 H 2.89-3.02
P: 0.3606 0.0358 0.8861  3 S 2.02-2.04, 1 P 2.26
P: 0.3606 0.4642 0.3861  3 S 2.02-2.04, 1 P 2.26
P: 0.6394 0.5358 0.6139  3 S 2.02-2.04, 1 P 2.26
P: 0.6394 0.9642 0.1139  3 S 2.02-2.04, 1 P 2.26
H: 0.0779 0.5013 0.9139  1 O 1.00
H: 0.0779 0.9987 0.4139  1 O 1.00
H: 0.1257 0.5187 0.7069  1 O 1.00
H: 0.1257 0.9813 0.2069  1 O 1.00
H: 0.2243 0.5541 0.0788  1 O 1.00
H: 0.2243 0.9459 0.5788  1 O 1.00
H: 0.3303 0.0007 0.2125  1 O 0.99
H: 0.3303 0.4993 0.7125  1 O 0.99
H: 0.6697 0.5007 0.2875  1 O 0.99
H: 0.6697 0.9993 0.7875  1 O 0.99
H: 0.7757 0.0541 0.4212  1 O 1.00
H: 0.7757 0.4459 0.9212  1 O 1.00
H: 0.8743 0.0187 0.7931  1 O 1.00
H: 0.8743 0.4813 0.2931  1 O 1.00
H: 0.9221 0.0013 0.5861  1 O 1.00
H: 0.9221 0.4987 0.0861  1 O 1.00
S: 0.1588 0.1293 0.9061  1 P 2.03, 1 H 2.13
S: 0.1588 0.3707 0.4061  1 P 2.03, 1 H 2.13
S: 0.2096 0.6107 0.2550  1 P 2.04, 2 H 2.21-2.22
S: 0.2096 0.8893 0.7550  1 P 2.04, 2 H 2.21-2.22
S: 0.4999 0.1438 0.8262  1 P 2.02
S: 0.4999 0.3562 0.3262  1 P 2.02
S: 0.5001 0.6438 0.6738  1 P 2.02
S: 0.5001 0.8562 0.1738  1 P 2.02
S: 0.7904 0.1107 0.2450  1 P 2.04, 2 H 2.21-2.22
S: 0.7904 0.3893 0.7450  1 P 2.04, 2 H 2.21-2.22
S: 0.8412 0.6293 0.5939  1 P 2.03, 1 H 2.13
S: 0.8412 0.8707 0.0939  1 P 2.03, 1 H 2.13
O: 0.2106 0.5508 0.9874  2 H 1.00
O: 0.2106 0.9492 0.4874  2 H 1.00
O: 0.2624 0.0307 0.2561  2 H 0.99-1.00
O: 0.2624 0.4693 0.7561  2 H 0.99-1.00
O: 0.7376 0.5307 0.2439  2 H 0.99-1.00
O: 0.7376 0.9693 0.7439  2 H 0.99-1.00
O: 0.7894 0.0508 0.5126  2 H 1.00
O: 0.7894 0.4492 0.0126  2 H 1.00

***

(2)
Material: NaV10O15
Method: DFT, meta-GGA SCAN
State: single point on PBEsol structure

## Properties
**Raw formation energy**: -2.5266 eV per atom
**Symmetry**: Cmce, No. 64

Lattice parameters (Å, degrees): 7.3900 7.3900 9.4248 90.00 90.00 79.62
Last column: nearest neighbours and their distance in Å.
Atoms (fractional coordinates):
Na: 0.0000 0.0000 0.0000  6 O 2.62-2.91
Na: 0.5000 0.5000 0.5000  6 O 2.62-2.91
V: 0.0297 0.2382 0.6252  4 O 1.87-1.99
V: 0.0655 0.4210 0.1085  6 O 1.95-2.09
V: 0.0790 0.4345 0.3915  6 O 1.95-2.09
V: 0.1778 0.8222 0.6466  5 O 1.87-1.97
V: 0.2382 0.0297 0.3748  4 O 1.87-1.99
V: 0.2618 0.4703 0.8748  4 O 1.87-1.99
V: 0.3222 0.6778 0.1466  5 O 1.87-1.97
V: 0.4210 0.0655 0.8915  6 O 1.95-2.09
V: 0.4345 0.0790 0.6085  6 O 1.95-2.09
V: 0.4703 0.2618 0.1252  4 O 1.87-1.99
V: 0.5297 0.7382 0.8748  4 O 1.87-1.99
V: 0.5655 0.9210 0.3915  6 O 1.95-2.09
V: 0.5790 0.9345 0.1085  6 O 1.95-2.09
V: 0.6778 0.3222 0.8534  5 O 1.87-1.97
V: 0.7382 0.5297 0.1252  4 O 1.87-1.99
V: 0.7618 0.9703 0.6252  4 O 1.87-1.99
V: 0.8222 0.1778 0.3534  5 O 1.87-1.97
V: 0.9210 0.5655 0.6085  6 O 1.95-2.09
V: 0.9345 0.5790 0.8915  6 O 1.95-2.09
V: 0.9703 0.7618 0.3748  4 O 1.87-1.99
O: 0.0000 0.0000 0.5000  6 V 2.16-2.18
O: 0.0472 0.2185 0.2600  4 V 1.95-2.10
O: 0.0816 0.4184 0.7500  4 V 1.87-1.98
O: 0.1234 0.6450 0.0148  4 V 1.95-1.99
O: 0.1450 0.6234 0.5148  4 V 1.95-1.99
O: 0.1666 0.8334 0.2697  3 V 1.87-1.91
O: 0.2185 0.0472 0.7400  4 V 1.95-2.10
O: 0.2437 0.2437 0.5000  4 V 1.97-1.98
O: 0.2563 0.2563 0.0000  4 V 1.97-1.98
O: 0.2815 0.4528 0.2400  4 V 1.95-2.10
O: 0.3334 0.6666 0.7697  3 V 1.87-1.91
O: 0.3550 0.8766 0.0148  4 V 1.95-1.99
O: 0.3766 0.8550 0.5148  4 V 1.95-1.99
O: 0.4184 0.0816 0.2500  4 V 1.87-1.98
O: 0.4528 0.2815 0.7600  4 V 1.95-2.10
O: 0.5000 0.5000 0.0000  6 V 2.16-2.18
O: 0.5472 0.7185 0.2400  4 V 1.95-2.10
O: 0.5816 0.9184 0.7500  4 V 1.87-1.98
O: 0.6234 0.1450 0.4852  4 V 1.95-1.99
O: 0.6450 0.1234 0.9852  4 V 1.95-1.99
O: 0.6666 0.3334 0.2303  3 V 1.87-1.91
O: 0.7185 0.5472 0.7600  4 V 1.95-2.10
O: 0.7437 0.7437 0.0000  4 V 1.97-1.98
O: 0.7563 0.7563 0.5000  4 V 1.97-1.98
O: 0.7815 0.9528 0.2600  4 V 1.95-2.10
O: 0.8334 0.1666 0.7303  3 V 1.87-1.91
O: 0.8550 0.3766 0.4852  4 V 1.95-1.99
O: 0.8766 0.3550 0.9852  4 V 1.95-1.99
O: 0.9184 0.5816 0.2500  4 V 1.87-1.98
O: 0.9528 0.7815 0.7400  4 V 1.95-2.10

***

D(E_F) (states/eV per cell)
0.00, 8.84
Raw total energy (eV for the cell shown)
-381.3, -676.5